No. 1
DFT (PBE-GGA) results for Na16In12Au after structural relaxation.

**Calculated formation energy**: -134 meV/atom
**Density**: 4.0 g/cm3
**Magnetization**: 0.00 μB per formula unit
**Fermi-level density of states**: 20.9 states/eV per cell

abc: 11.732 16.504 10.046
angles: 90.00 123.94 90.00
Space group Cm (No. 8)
Inequivalent atoms, fractional coordinates:
Na 0.000 0.000 0.000 [2 per cell]
Na 0.003 0.000 0.360 [2 per cell]
Na 0.018 0.306 0.662 [4 per cell]
Na 0.051 0.377 0.378 [4 per cell]
Na 0.202 0.206 0.038 [4 per cell]
Na 0.309 0.000 0.068 [2 per cell]
Na 0.322 0.322 0.361 [4 per cell]
Na 0.348 0.340 0.769 [4 per cell]
Na 0.394 0.000 0.689 [2 per cell]
Na 0.432 0.150 0.944 [4 per cell]
In 0.093 0.093 0.722 [4 per cell]
In 0.135 0.500 0.175 [2 per cell]
In 0.184 0.186 0.538 [4 per cell]
In 0.227 0.405 0.989 [4 per cell]
In 0.262 0.093 0.337 [4 per cell]
In 0.318 0.500 0.548 [2 per cell]
In 0.495 0.307 0.171 [4 per cell]
Au 0.194 0.500 0.725 [2 per cell]


No. 2
DFT (PBE-GGA) results for Na5InAu3 after structural relaxation.

**Calculated formation energy**: -229 meV/atom
**Density**: 6.5 g/cm3
**Magnetization**: 0.00 μB per formula unit
**Fermi-level density of states**: 5.0 states/eV per cell

abc: 8.7797 8.7797 6.3190
angles: 90.00 90.00 120.00
Space group P6_3/mcm (No. 193)
Inequivalent atoms, fractional coordinates:
Na 0.0000 0.3461 0.2500 [6 per cell]
Na 0.3333 0.6667 0.0000 [4 per cell]
In 0.0000 0.0000 0.0000 [2 per cell]
Au 0.0000 0.3135 0.7500 [6 per cell]


No. 3
DFT (PBE-GGA) results for NaInAu3 after structural relaxation.

**Calculated formation energy**: -218 meV/atom
**Density**: 11.8 g/cm3
**Magnetization**: 0.00 μB per formula unit
**Energy above the most stable polymorph in this dataset**: 0.0 kJ/mol of formula units
**Fermi-level density of states**: 1.3 states/eV per cell

abc: 3.525 5.458 5.899
angles: 84.43 72.66 71.48
Space group P1 (No. 1)
Inequivalent atoms, fractional coordinates:
Na 0.000 0.000 0.000 [1 per cell]
In 0.378 0.770 0.475 [1 per cell]
Au 0.178 0.451 0.193 [1 per cell]
Au 0.640 0.188 0.534 [1 per cell]
Au 0.826 0.532 0.816 [1 per cell]


No. 4
DFT (PBE-GGA) results for Na2In4Au after structural relaxation.

**Calculated formation energy**: -7 meV/atom
**Density**: 5.3 g/cm3
**Magnetization**: 0.00 μB per formula unit
**Fermi-level density of states**: 5.0 states/eV per cell

abc: 6.086 14.827 4.865
angles: 90.00 90.00 90.00
Space group Cmmm (No. 65)
Inequivalent atoms, fractional coordinates:
Na 0.000 0.143 0.000 [4 per cell]
In 0.000 0.292 0.500 [4 per cell]
In 0.000 0.402 0.000 [4 per cell]
Au 0.000 0.500 0.500 [2 per cell]


No. 5
DFT (PBE-GGA) results for NaIn3Au2 after structural relaxation.

**Calculated formation energy**: -141 meV/atom
**Density**: 8.6 g/cm3
**Magnetization**: 0.00 μB per formula unit
**Energy above the most stable polymorph in this dataset**: 63.3 kJ/mol of formula units
**Fermi-level density of states**: 16.6 states/eV per cell

abc: 7.1379 7.1379 19.9713
angles: 90.00 90.00 120.00
Space group R-3m (No. 166, hexagonal axes)
Inequivalent atoms, fractional coordinates:
Na 0.0000 0.0000 0.2258 [6 per cell]
In 0.0107 0.5054 0.2337 [18 per cell]
Au 0.0000 0.0000 0.0000 [3 per cell]
Au 0.0000 0.5000 0.0000 [9 per cell]


No. 6
DFT (PBE-GGA) results for NaIn3Au after structural relaxation.

**Calculated formation energy**: -167 meV/atom
**Density**: 7.4 g/cm3
**Magnetization**: 0.00 μB per formula unit
**Energy above the most stable polymorph in this dataset**: 10.2 kJ/mol of formula units
**Fermi-level density of states**: 6.0 states/eV per cell

abc: 7.465 7.379 9.621
angles: 90.00 107.25 90.00
Space group P2_1/c (No. 14)
Inequivalent atoms, fractional coordinates:
Na 0.206 0.043 0.242 [4 per cell]
In 0.052 0.693 0.055 [4 per cell]
In 0.243 0.000 0.873 [4 per cell]
In 0.386 0.126 0.595 [4 per cell]
Au 0.439 0.728 0.611 [4 per cell]


No. 7
DFT (PBE-GGA) results for NaIn2Au2 after structural relaxation.

**Calculated formation energy**: -232 meV/atom
**Density**: 9.5 g/cm3
**Magnetization**: 0.00 μB per formula unit
**Energy above the most stable polymorph in this dataset**: 26.0 kJ/mol of formula units
**Fermi-level density of states**: 3.7 states/eV per cell

abc: 8.059 8.059 3.489
angles: 90.00 90.00 90.00
Space group P4/mbm (No. 127)
Inequivalent atoms, fractional coordinates:
Na 0.000 0.000 0.000 [2 per cell]
In 0.160 0.340 0.500 [4 per cell]
Au 0.138 0.638 0.000 [4 per cell]


No. 8
DFT (PBE-GGA) results for Na5InAu after structural relaxation.

**Calculated formation energy**: -140 meV/atom
**Density**: 3.5 g/cm3
**Magnetization**: 0.00 μB per formula unit
**Energy above the most stable polymorph in this dataset**: 0.0 kJ/mol of formula units
**Fermi-level density of states**: 8.9 states/eV per cell

abc: 16.758 8.251 6.233
angles: 90.00 111.36 90.00
Space group C2/c (No. 15)
Inequivalent atoms, fractional coordinates:
Na 0.000 0.150 0.250 [4 per cell]
Na 0.114 0.499 0.115 [8 per cell]
Na 0.173 0.114 0.923 [8 per cell]
In 0.250 0.250 0.500 [4 per cell]
Au 0.000 0.260 0.750 [4 per cell]